DFT (GGA-PBE) results for a relaxed structure of CrHgW2.

Summary:
The calculation puts the energy of formation at 598 meV/atom. The calculation puts the theoretical density at 15.67 g/cm³. For the volume, the calculation gives 65.7 Å³/cell.

Geometry as extended XYZ:
```
4
Lattice="3.265 0.000 0.000 0.000 3.265 0.000 0.000 0.000 6.166" Properties=species:S:1:pos:R:3 pbc="T T T"
W 0.000 0.000 2.787
W 0.000 0.000 0.295
Hg 1.632 1.632 4.624
Cr 1.632 1.632 1.541
```